No. 1
A plane-wave DFT calculation with GGA-PBE was carried out for a relaxed CoSeN3 crystal.

Lattice parameters (Å, degrees): 3.692 3.692 3.692 90.00 90.00 90.00
Positions (direct):
Co: 0.000 0.000 0.000
Se: 0.500 0.500 0.500
N: 0.000 0.000 0.500
N: 0.000 0.500 0.000
N: 0.500 0.000 0.000

## Properties
energy relative to the elements, uncorrected	1.723	eV/atom
crystal system	cubic



No. 2
A plane-wave DFT calculation with GGA-PBE was carried out for a relaxed CoSeN2 crystal.

Lattice parameters (Å, degrees): 5.323 5.323 5.323 124.05 124.05 83.12
Positions (direct):
Co: 0.000 0.000 0.000
Co: 0.750 0.250 0.500
Se: 0.250 0.750 0.500
Se: 0.500 0.500 0.000
N: 0.049 0.625 0.924
N: 0.375 0.299 0.424
N: 0.701 0.125 0.076
N: 0.875 0.951 0.576

## Properties
energy relative to the elements, uncorrected	0.923	eV/atom
crystal system	tetragonal



No. 3
A plane-wave DFT calculation with GGA-PBE was carried out for a relaxed Co2SeN crystal.

Lattice parameters (Å, degrees): 5.985 5.985 5.985 135.27 135.27 65.11
Positions (direct):
Co: 0.025 0.625 0.900
Co: 0.375 0.275 0.400
Co: 0.725 0.125 0.100
Co: 0.875 0.975 0.600
Se: 0.250 0.750 0.500
Se: 0.500 0.500 0.000
N: 0.000 0.000 0.000
N: 0.750 0.250 0.500

## Properties
energy relative to the elements, uncorrected	-0.023	eV/atom
crystal system	tetragonal
energy relative to the lowest polymorph listed for this composition	0.0	meV per atom



No. 4
A plane-wave DFT calculation with GGA-PBE was carried out for a relaxed CoSeN2 crystal.

Lattice parameters (Å, degrees): 6.106 6.106 6.106 27.88 27.88 27.88
Positions (direct):
Co: 0.000 0.000 0.000
Se: 0.500 0.500 0.500
N: 0.386 0.386 0.386
N: 0.614 0.614 0.614

## Properties
energy relative to the elements, uncorrected	0.708	eV/atom
crystal system	trigonal



No. 5
A plane-wave DFT calculation with GGA-PBE was carried out for a relaxed Co2SeN crystal.

Lattice parameters (Å, degrees): 3.954 3.954 3.954 60.00 60.00 60.00
Positions (direct):
Co: 0.250 0.250 0.250
Co: 0.750 0.750 0.750
Se: 0.000 0.000 0.000
N: 0.500 0.500 0.500

## Properties
energy relative to the elements, uncorrected	0.780	eV/atom
crystal system	cubic
energy relative to the lowest polymorph listed for this composition	802.9	meV per atom



No. 6
A plane-wave DFT calculation with GGA-PBE was carried out for a relaxed CoSe3N crystal.

Lattice parameters (Å, degrees): 4.346 4.346 4.346 90.00 90.00 90.00
Positions (direct):
Co: 0.000 0.000 0.000
Se: 0.000 0.500 0.500
Se: 0.500 0.000 0.500
Se: 0.500 0.500 0.000
N: 0.500 0.500 0.500

## Properties
energy relative to the elements, uncorrected	1.141	eV/atom
crystal system	cubic
energy relative to the lowest polymorph listed for this composition	0.0	meV per atom